Here is a relaxed structure of Mn2AlHg from the Alexandria database. Energies are from PBE.

Cell lengths 9.1528, 3.0493, 4.8615 Å; angles 90.00, 105.39, 90.00 degrees
Last column: nearest neighbours and their distance in Å.
Atoms (fractional coordinates):
Mn (0.2415, 0.0000, 0.2308)  3 Al 2.67-2.88, 2 Mn 2.75, 3 Hg 2.83-2.85
Mn (0.2585, 0.5000, 0.7692)  3 Al 2.67-2.88, 2 Mn 2.75, 3 Hg 2.83-2.85
Mn (0.7415, 0.5000, 0.2308)  3 Al 2.67-2.88, 2 Mn 2.75, 3 Hg 2.83-2.85
Mn (0.7585, 0.0000, 0.7692)  3 Al 2.67-2.88, 2 Mn 2.75, 3 Hg 2.83-2.85
Al (0.0000, 0.5000, 0.0000)  6 Mn 2.67-2.88, 4 Hg 2.87
Al (0.5000, 0.0000, 0.0000)  6 Mn 2.67-2.88, 4 Hg 2.87
Hg (0.0000, 0.0000, 0.5000)  6 Mn 2.83-2.85, 4 Al 2.87, 2 Hg 3.05
Hg (0.5000, 0.5000, 0.5000)  6 Mn 2.83-2.85, 4 Al 2.87, 2 Hg 3.05

Output
space-group type	C2/m (12)
energy above the lowest structure with this stoichiometry	136	meV/atom
formation enthalpy at 0 K	0.24	eV/atom